1.
Compound: Mg2H7Pd2
Source: Alexandria
Functional: PBE
Structure: optimized geometry

Crystal system = monoclinic
VASP energy = -3.458 eV per atom

Cell: 4.9964 4.9964 4.5350 Å, 94.91 94.91 107.97°
Atoms (fractional coordinates):
1 Mg 0.2233 0.7767 0.0000
2 Mg 0.7767 0.2233 0.0000
3 H 0.0362 0.4502 0.7089
4 H 0.0395 0.0395 0.2788
5 H 0.4502 0.0362 0.7089
6 H 0.5000 0.5000 0.5000
7 H 0.5498 0.9638 0.2911
8 H 0.9605 0.9605 0.7212
9 H 0.9638 0.5498 0.2911
10 Pd 0.2463 0.2463 0.6840
11 Pd 0.7537 0.7537 0.3160

***

2.
Compound: TcF
Source: Alexandria
Functional: PBE
Structure: optimized geometry

Crystal system = tetragonal
Formation energy (no corrections) = -0.5841 eV/atom
Energy relative to the lowest polymorph listed for this composition = 452.8 meV/atom
VASP energy = -6.703 eV per atom

Cell: 7.4117 7.4117 7.4117 Å, 92.36 92.36 156.60°
Atoms (fractional coordinates):
1 Tc 0.1881 0.3024 0.4905
2 Tc 0.3024 0.8119 0.1143
3 Tc 0.6976 0.1881 0.8857
4 Tc 0.8119 0.6976 0.5095
5 F 0.1771 0.5040 0.6811
6 F 0.4960 0.1771 0.6731
7 F 0.5040 0.8229 0.3269
8 F 0.8229 0.4960 0.3189

***

3.
Compound: RuPt6Rh2
Source: Alexandria
Functional: PBE
Structure: optimized geometry

Crystal system = monoclinic
Energy relative to the lowest polymorph listed for this composition = 7.5 meV/atom
VASP energy = -6.699 eV per atom

Cell: 7.3259 7.3259 8.3013 Å, 124.37 124.37 21.95°
Atoms (fractional coordinates):
1 Ru 0.0000 0.0000 0.0000
2 Pt 0.0012 0.0012 0.3312
3 Pt 0.3311 0.3311 0.3356
4 Pt 0.3363 0.3363 0.9983
5 Pt 0.6637 0.6637 0.0017
6 Pt 0.6689 0.6689 0.6644
7 Pt 0.9988 0.9988 0.6688
8 Rh 0.3366 0.3366 0.6725
9 Rh 0.6634 0.6634 0.3275

***

4.
Compound: LaPr3Ru
Source: Alexandria
Functional: PBE
Structure: optimized geometry

Crystal system = monoclinic
Energy relative to the lowest polymorph listed for this composition = 0.0 meV/atom
VASP energy = -5.866 eV per atom

Cell: 7.5615 7.5615 8.5855 Å, 124.17 124.17 71.86°
Atoms (fractional coordinates):
1 La 0.0432 0.0432 0.3332
2 La 0.9568 0.9568 0.6668
3 Pr 0.0502 0.4537 0.2096
4 Pr 0.4506 0.4506 0.7468
5 Pr 0.4537 0.0502 0.2096
6 Pr 0.5463 0.9498 0.7904
7 Pr 0.5494 0.5494 0.2532
8 Pr 0.9498 0.5463 0.7904
9 Ru 0.2416 0.2416 0.8759
10 Ru 0.7584 0.7584 0.1241

***

5.
Compound: VCo23Ni6
Source: Alexandria
Functional: PBE
Structure: optimized geometry

Crystal system = cubic
VASP energy = -6.765 eV per atom

Cell: 7.8474 7.8474 7.8474 Å, 60.00 60.00 60.00°
Atoms (fractional coordinates):
1 V 0.0000 0.0000 0.0000
2 Co 0.0000 0.0000 0.5000
3 Co 0.0000 0.5000 0.0000
4 Co 0.0000 0.5000 0.5000
5 Co 0.1103 0.6299 0.6299
6 Co 0.1367 0.1367 0.1367
7 Co 0.1367 0.1367 0.5900
8 Co 0.1367 0.5900 0.1367
9 Co 0.3701 0.3701 0.3701
10 Co 0.3701 0.3701 0.8897
11 Co 0.3701 0.8897 0.3701
12 Co 0.4100 0.8633 0.8633
13 Co 0.5000 0.0000 0.0000
14 Co 0.5000 0.0000 0.5000
15 Co 0.5000 0.5000 0.0000
16 Co 0.5000 0.5000 0.5000
17 Co 0.5900 0.1367 0.1367
18 Co 0.6299 0.1103 0.6299
19 Co 0.6299 0.6299 0.1103
20 Co 0.6299 0.6299 0.6299
21 Co 0.8633 0.4100 0.8633
22 Co 0.8633 0.8633 0.4100
23 Co 0.8633 0.8633 0.8633
24 Co 0.8897 0.3701 0.3701
25 Ni 0.2446 0.2446 0.7554
26 Ni 0.2446 0.7554 0.2446
27 Ni 0.2446 0.7554 0.7554
28 Ni 0.7554 0.2446 0.2446
29 Ni 0.7554 0.2446 0.7554
30 Ni 0.7554 0.7554 0.2446

***

6.
Compound: LaPuAgSn
Source: Alexandria
Functional: PBE
Structure: optimized geometry

Crystal system = cubic
VASP energy = -6.855 eV per atom

Cell: 5.4109 5.4109 5.4109 Å, 60.00 60.00 60.00°
Atoms (fractional coordinates):
1 La 0.0000 0.0000 0.0000
2 Pu 0.5000 0.5000 0.5000
3 Ag 0.2500 0.2500 0.2500
4 Sn 0.7500 0.7500 0.7500